4
Lattice="-3.2265 1.7425 2.2105 -4.0226 -1.2832 -0.7110 -1.5264 -6.0905 6.7236" Properties=species:S:1:pos:R:3 comment="Ac2IrPb | Alexandria | PBE-GGA | relaxed" delta_e_f_ev_per_atom=-0.515 spacegroup="R3m, No. 160" energy_ev_per_atom=-5.7115 pbc="T T T"
Pb -4.3875 -2.8217 4.1179
Ac -2.2464 -1.0319 1.6808
Ac -1.6961 -4.9038 5.5409
Ir -6.3597 -5.7798 7.7189